{
  "formula": "NaTcPt",
  "functional": "PBE-GGA",
  "state": "relaxed",
  "dos_ef_per_ev_atom": 0.5656,
  "delta_e_f_ev_per_fu": 0.1,
  "dft_energy_ev_per_atom": -5.86,
  "magnetic_moment_mub_per_cell": 0.00,
  "lattice": [[4.1268, -4.6926, 0.0000], [4.1268, 4.6926, 0.0000], [0.0000, 0.0000, 2.7317]],
  "species": ["Na", "Na", "Tc", "Tc", "Pt", "Pt"],
  "fractional_positions": [[0.1631, 0.1631, 0.0000], [0.8369, 0.8369, 0.0000], [0.3777, 0.6223, 0.0000], [0.6223, 0.3777, 0.0000], [0.0000, 0.5000, 0.5000], [0.5000, 0.0000, 0.5000]]
}

=====

{
  "formula": "Mg7AlIn4",
  "functional": "PBE-GGA",
  "state": "relaxed",
  "dos_ef_per_ev_atom": 0.3091,
  "delta_e_f_ev_per_fu": 1.2,
  "dft_energy_ev_per_atom": -2.06,
  "magnetic_moment_mub_per_cell": 0.00,
  "lattice": [[6.9618, -2.6752, 0.0000], [6.9618, 2.6752, 0.0000], [-6.8406, 0.0000, 8.2135]],
  "species": ["Mg", "Mg", "Mg", "Mg", "Mg", "Mg", "Mg", "Al", "In", "In", "In", "In"],
  "fractional_positions": [[0.0000, 0.0000, 0.0000], [0.1398, 0.1398, 0.8589], [0.2510, 0.2510, 0.6897], [0.4368, 0.4368, 0.5908], [0.5632, 0.5632, 0.4092], [0.7490, 0.7490, 0.3103], [0.8602, 0.8602, 0.1411], [0.5000, 0.5000, 0.0000], [0.1451, 0.1451, 0.3492], [0.2914, 0.2914, 0.2145], [0.7086, 0.7086, 0.7855], [0.8549, 0.8549, 0.6508]]
}

=====

{
  "formula": "PuHfGa",
  "functional": "PBE-GGA",
  "state": "relaxed",
  "dos_ef_per_ev_atom": 2.8089,
  "delta_e_f_ev_per_fu": 0.4,
  "dft_energy_ev_per_atom": -8.96,
  "magnetic_moment_mub_per_cell": 13.51,
  "lattice": [[4.3732, 0.0000, 0.0000], [0.0000, 4.3732, 0.0000], [0.0000, 0.0000, 7.3080]],
  "species": ["Pu", "Pu", "Hf", "Hf", "Ga", "Ga"],
  "fractional_positions": [[0.2500, 0.2500, 0.1710], [0.7500, 0.7500, 0.8290], [0.2500, 0.2500, 0.7395], [0.7500, 0.7500, 0.2605], [0.2500, 0.7500, 0.5000], [0.7500, 0.2500, 0.5000]]
}

=====

{
  "formula": "AgPtSe2N",
  "functional": "PBE-GGA",
  "state": "relaxed",
  "formation_energy_uncorrected_ev_per_atom": 1.459,
  "dos_ef_per_ev_atom": 0.6724,
  "dft_energy_ev_per_atom": -3.38,
  "magnetic_moment_mub_per_cell": 2.06,
  "lattice": [[5.1107, 0.0000, 0.0000], [0.0000, 5.1107, 0.0000], [0.0000, 0.0000, 3.8765]],
  "species": ["Ag", "Pt", "Se", "Se", "N"],
  "fractional_positions": [[0.0000, 0.0000, 0.0000], [0.5000, 0.5000, 0.5000], [0.0000, 0.5000, 0.0000], [0.5000, 0.0000, 0.0000], [0.0000, 0.0000, 0.5000]]
}

=====

{
  "formula": "Mg2FeGe2Ru",
  "functional": "PBE-GGA",
  "state": "relaxed",
  "dos_ef_per_ev_atom": 0.6225,
  "delta_e_f_ev_per_fu": -1.5,
  "dft_energy_ev_per_atom": -5.28,
  "magnetic_moment_mub_per_cell": 1.15,
  "lattice": [[-2.8524, 6.0992, 2.8823], [2.8524, -6.0992, 2.8823], [2.8524, 6.0992, -2.8823]],
  "species": ["Mg", "Mg", "Mg", "Mg", "Fe", "Fe", "Ge", "Ge", "Ge", "Ge", "Ru", "Ru"],
  "fractional_positions": [[0.1591, 0.2482, 0.4073], [0.3409, 0.7482, 0.0892], [0.6591, 0.2518, 0.9108], [0.8409, 0.7518, 0.5927], [0.2500, 0.7500, 0.5000], [0.7500, 0.2500, 0.5000], [0.1136, 0.7395, 0.8531], [0.3864, 0.2395, 0.6259], [0.6136, 0.7605, 0.3741], [0.8864, 0.2605, 0.1469], [0.2500, 0.2500, 0.0000], [0.7500, 0.7500, 0.0000]]
}

=====

{
  "formula": "Er12Cd5In2",
  "functional": "PBE-GGA",
  "state": "relaxed",
  "dos_ef_per_ev_atom": 1.1924,
  "delta_e_f_ev_per_fu": -3.1,
  "dft_energy_ev_per_atom": -3.57,
  "magnetic_moment_mub_per_cell": 0.00,
  "lattice": [[6.2543, -5.2255, 0.0000], [6.2543, 5.2255, 0.0000], [-1.9131, 0.0000, 8.0050]],
  "species": ["Er", "Er", "Er", "Er", "Er", "Er", "Er", "Er", "Er", "Er", "Er", "Er", "Cd", "Cd", "Cd", "Cd", "Cd", "In", "In"],
  "fractional_positions": [[0.0800, 0.0800, 0.2063], [0.1302, 0.5178, 0.6956], [0.1343, 0.6559, 0.1081], [0.3441, 0.8657, 0.8919], [0.3656, 0.3656, 0.3611], [0.4822, 0.8698, 0.3044], [0.5178, 0.1302, 0.6956], [0.6344, 0.6344, 0.6389], [0.6559, 0.1343, 0.1081], [0.8657, 0.3441, 0.8919], [0.8698, 0.4822, 0.3044], [0.9200, 0.9200, 0.7937], [0.1353, 0.1353, 0.6017], [0.2553, 0.2553, 0.9750], [0.5000, 0.5000, 0.0000], [0.7447, 0.7447, 0.0250], [0.8647, 0.8647, 0.3983], [0.2336, 0.7664, 0.5000], [0.7664, 0.2336, 0.5000]]
}

=====

{
  "formula": "KRbMgTl",
  "functional": "PBE-GGA",
  "state": "relaxed",
  "dos_ef_per_ev_atom": 1.3306,
  "delta_e_f_ev_per_fu": 0.4,
  "dft_energy_ev_per_atom": -1.40,
  "magnetic_moment_mub_per_cell": 0.01,
  "lattice": [[0.0000, 4.2502, 4.2502], [4.2502, 0.0000, 4.2502], [4.2502, 4.2502, 0.0000]],
  "species": ["K", "Rb", "Mg", "Tl"],
  "fractional_positions": [[0.0000, 0.0000, 0.0000], [0.2500, 0.2500, 0.2500], [0.5000, 0.5000, 0.5000], [0.7500, 0.7500, 0.7500]]
}

=====

{
  "formula": "U2Pa8Os",
  "functional": "PBE-GGA",
  "state": "relaxed",
  "dos_ef_per_ev_atom": 2.0718,
  "delta_e_f_ev_per_fu": 0.7,
  "dft_energy_ev_per_atom": -9.92,
  "magnetic_moment_mub_per_cell": 0.00,
  "lattice": [[8.1095, -2.6445, 0.0000], [8.1095, 2.6445, 0.0000], [-2.6307, 0.0000, 6.0624]],
  "species": ["U", "U", "Pa", "Pa", "Pa", "Pa", "Pa", "Pa", "Pa", "Pa", "Os"],
  "fractional_positions": [[0.1674, 0.1674, 0.1771], [0.8326, 0.8326, 0.8229], [0.0211, 0.0211, 0.2679], [0.1990, 0.1990, 0.7949], [0.3305, 0.3305, 0.5303], [0.4063, 0.4063, 0.0611], [0.5937, 0.5937, 0.9389], [0.6695, 0.6695, 0.4697], [0.8010, 0.8010, 0.2051], [0.9789, 0.9789, 0.7321], [0.5000, 0.5000, 0.5000]]
}

=====

{
  "formula": "BaY2Mn",
  "functional": "PBE-GGA",
  "state": "relaxed",
  "dos_ef_per_ev_atom": 1.9380,
  "delta_e_f_ev_per_fu": 3.2,
  "dft_energy_ev_per_atom": -5.21,
  "magnetic_moment_mub_per_cell": 0.00,
  "lattice": [[0.0000, 3.7852, 3.7852], [3.7852, 0.0000, 3.7852], [3.7852, 3.7852, 0.0000]],
  "species": ["Ba", "Y", "Y", "Mn"],
  "fractional_positions": [[0.0000, 0.0000, 0.0000], [0.2500, 0.2500, 0.2500], [0.7500, 0.7500, 0.7500], [0.5000, 0.5000, 0.5000]]
}

=====

{
  "formula": "Li3TaBe",
  "functional": "PBE-GGA",
  "state": "relaxed",
  "dos_ef_per_ev_atom": 0.7513,
  "delta_e_f_ev_per_fu": 9.3,
  "dft_energy_ev_per_atom": -2.40,
  "magnetic_moment_mub_per_cell": 4.09,
  "lattice": [[5.0372, 0.0000, 0.0000], [0.0000, 5.0372, 0.0000], [0.0000, 0.0000, 5.0372]],
  "species": ["Li", "Li", "Li", "Ta", "Be"],
  "fractional_positions": [[0.0000, 0.0000, 0.5000], [0.0000, 0.5000, 0.0000], [0.5000, 0.0000, 0.0000], [0.0000, 0.0000, 0.0000], [0.5000, 0.5000, 0.5000]]
}

=====

{
  "formula": "LiZrSbRu",
  "functional": "PBE-GGA",
  "state": "relaxed",
  "formation_energy_uncorrected_ev_per_atom": -0.626,
  "dft_energy_ev_per_atom": -6.59,
  "magnetic_moment_mub_per_cell": 0.00,
  "lattice": [[0.0000, 3.2290, 3.2290], [3.2290, 0.0000, 3.2290], [3.2290, 3.2290, 0.0000]],
  "species": ["Li", "Zr", "Sb", "Ru"],
  "fractional_positions": [[0.0000, 0.0000, 0.0000], [0.7500, 0.7500, 0.7500], [0.2500, 0.2500, 0.2500], [0.5000, 0.5000, 0.5000]]
}

=====

{
  "formula": "PaBiCl2F6",
  "functional": "PBE-GGA",
  "state": "relaxed",
  "formation_energy_uncorrected_ev_per_atom": -2.828,
  "dos_ef_per_ev_atom": 0.0000,
  "dft_energy_ev_per_atom": -5.66,
  "magnetic_moment_mub_per_cell": 0.09,
  "lattice": [[7.5899, 0.0000, 0.0000], [0.0000, 9.1733, 0.0000], [0.0000, 0.0000, 6.2370]],
  "species": ["Pa", "Pa", "Bi", "Bi", "Cl", "Cl", "Cl", "Cl", "F", "F", "F", "F", "F", "F", "F", "F", "F", "F", "F", "F"],
  "fractional_positions": [[0.2500, 0.2500, 0.2148], [0.7500, 0.7500, 0.7852], [0.2500, 0.7500, 0.4443], [0.7500, 0.2500, 0.5557], [0.2500, 0.5542, 0.7161], [0.2500, 0.9458, 0.7161], [0.7500, 0.0542, 0.2839], [0.7500, 0.4458, 0.2839], [0.0539, 0.2500, 0.4756], [0.0553, 0.2500, 0.9826], [0.2500, 0.0209, 0.2218], [0.2500, 0.4791, 0.2218], [0.4447, 0.2500, 0.9826], [0.4461, 0.2500, 0.4756], [0.5539, 0.7500, 0.5244], [0.5553, 0.7500, 0.0174], [0.7500, 0.5209, 0.7782], [0.7500, 0.9791, 0.7782], [0.9447, 0.7500, 0.0174], [0.9461, 0.7500, 0.5244]]
}